{
  "formula": "BeNbPt2",
  "functional": "PBE-GGA",
  "state": "relaxed",
  "lattice_angstrom": [[0.000, 3.100, 3.100], [3.100, 0.000, 3.100], [3.100, 3.100, 0.000]],
  "species": ["Be", "Nb", "Pt", "Pt"],
  "fractional_positions": [[0.000, 0.000, 0.000], [0.250, 0.250, 0.250], [0.500, 0.500, 0.500], [0.750, 0.750, 0.750]],
  "total_energy_ev_per_atom": -6.766,
  "sg": "No. 216"
}

---

{
  "formula": "BeNbPt",
  "functional": "PBE-GGA",
  "state": "relaxed",
  "lattice_angstrom": [[0.000, 2.948, 2.948], [2.948, 0.000, 2.948], [2.948, 2.948, 0.000]],
  "species": ["Be", "Nb", "Pt"],
  "fractional_positions": [[0.000, 0.000, 0.000], [0.500, 0.500, 0.500], [0.250, 0.250, 0.250]],
  "total_energy_ev_per_atom": -6.801,
  "sg": "No. 216"
}

---

What did the second record say?
{
  "formula": "BeNbPt",
  "functional": "PBE-GGA",
  "state": "relaxed",
  "lattice_angstrom": [[0.000, 2.948, 2.948], [2.948, 0.000, 2.948], [2.948, 2.948, 0.000]],
  "species": ["Be", "Nb", "Pt"],
  "fractional_positions": [[0.000, 0.000, 0.000], [0.500, 0.500, 0.500], [0.250, 0.250, 0.250]],
  "total_energy_ev_per_atom": -6.801,
  "sg": "No. 216"
}